Record 1
Crystalline BaTaCo2 at its relaxed geometry, computed with PBE.

a = 5.062 Å, b = 5.062 Å, c = 5.062 Å
α = 133.46°, β = 110.64°, γ = 87.68°
Positions (direct):
1 Ba 0.250 0.750 0.500
2 Co 0.941 0.941 0.000
3 Co 0.559 0.559 0.000
4 Ta 0.750 0.250 0.500

Output
ΔE_f, eV/atom: 0.8774
E above lowest polymorph, meV/atom: 611
Volume, Å³/cell: 84.1
ρ, g cm⁻³: 8.6



Record 2
Crystalline ScRe2P6 at its relaxed geometry, computed with PBE.

a = 5.414 Å, b = 6.343 Å, c = 10.468 Å
α = 93.48°, β = 90.00°, γ = 90.00°
Positions (direct):
1 Sc 0.500 0.500 0.500
2 Sc 0.000 0.000 0.000
3 P 0.217 0.821 0.784
4 P 0.283 0.321 0.284
5 P 0.772 0.203 0.591
6 P 0.728 0.703 0.091
7 P 0.162 0.235 0.612
8 P 0.662 0.265 0.888
9 P 0.783 0.179 0.216
10 P 0.338 0.735 0.112
11 P 0.838 0.765 0.388
12 P 0.272 0.297 0.909
13 P 0.717 0.679 0.716
14 P 0.228 0.797 0.409
15 Re 0.514 0.374 0.107
16 Re 0.986 0.874 0.607
17 Re 0.486 0.626 0.893
18 Re 0.014 0.126 0.393

Output
ΔE_f, eV/atom: -0.1215
Volume, Å³/cell: 358.8
ρ, g cm⁻³: 5.6



Record 3
Crystalline SnHPd3 at its relaxed geometry, computed with PBE.

a = 4.836 Å, b = 4.836 Å, c = 10.005 Å
α = 76.01°, β = 76.01°, γ = 90.00°
Positions (direct):
1 Pd 0.628 0.875 0.250
2 Pd 0.351 0.351 0.298
3 Pd 0.649 0.649 0.702
4 Pd 0.121 0.875 0.250
5 Pd 0.125 0.372 0.750
6 Pd 0.125 0.879 0.750
7 H 0.639 0.139 0.721
8 H 0.861 0.361 0.279
9 Sn 0.000 0.000 0.000
10 Sn 0.250 0.750 0.500

Output
E above lowest polymorph, meV/atom: 898
Volume, Å³/cell: 219.9
ρ, g cm⁻³: 6.6



Record 4
Crystalline Eu2AlGe at its relaxed geometry, computed with PBE.

a = 3.775 Å, b = 3.775 Å, c = 7.395 Å
α = 90.00°, β = 90.00°, γ = 90.00°
Site moments in Bohr magnetons follow the coordinates.
Positions (direct):
1 Al 0.500 0.500 0.500  -0.01
2 Ge 0.500 0.500 0.000  -0.01
3 Eu 0.000 0.000 0.239  6.80
4 Eu 0.000 0.000 0.761  6.80

Output
ΔE_f, eV/atom: -0.3805
Volume, Å³/cell: 105.4
ρ, g cm⁻³: 6.4



Record 5
Crystalline CuMo2Os at its relaxed geometry, computed with PBE.

a = 9.241 Å, b = 9.241 Å, c = 9.241 Å
α = 17.10°, β = 17.10°, γ = 17.10°
Positions (direct):
1 Cu 0.752 0.752 0.752
2 Mo 0.003 0.003 0.003
3 Mo 0.246 0.246 0.246
4 Os 0.500 0.500 0.500

Output
ΔE_f, eV/atom: 0.2486
E above lowest polymorph, meV/atom: 121
Volume, Å³/cell: 59.5
ρ, g cm⁻³: 12.4



Record 6
Crystalline CaVCu at its relaxed geometry, computed with PBE.

a = 4.123 Å, b = 4.123 Å, c = 7.333 Å
α = 90.00°, β = 90.00°, γ = 90.00°
Site moments in Bohr magnetons follow the coordinates.
Positions (direct):
1 Cu 0.000 0.500 0.796  0.06
2 Cu 0.500 0.000 0.204  0.06
3 V 0.000 0.500 0.144  2.60
4 V 0.500 0.000 0.856  2.60
5 Ca 0.000 0.000 0.500  0.05
6 Ca 0.500 0.500 0.500  0.05

Output
ΔE_f, eV/atom: 0.8260
E above lowest polymorph, meV/atom: 575
Volume, Å³/cell: 124.6
ρ, g cm⁻³: 4.1